LuGaCoO4 | PBE with a Hubbard U | relaxed

Output
Mass density (g/cm3): 7.141
SG: R3m (160)
Raw total energy (Ry per atom): -0.4967

a = 8.615 Å, b = 8.615 Å, c = 8.615 Å
α = 22.97°, β = 22.97°, γ = 22.97°
Last column: magnetic moment on the atom in μB.
Sites, in units of the cell vectors:
1 O 0.122 0.122 0.122  0.04
2 O 0.710 0.710 0.710  0.01
3 O 0.294 0.294 0.294  0.02
4 Co 0.216 0.216 0.216  -0.98
5 Ga 0.786 0.786 0.786  0.01
6 Lu 0.001 0.001 0.001  0.01
7 O 0.864 0.864 0.864  -0.05